#1
{"formula": "AlZnCuIr", "functional": "GGA-PBE", "state": "relaxed", "lattice_angstrom": [[0.000, 3.011, 3.011], [3.011, 0.000, 3.011], [3.011, 3.011, 0.000]], "species": ["Al", "Zn", "Ir", "Cu"], "fractional_positions": [[0.000, 0.000, 0.000], [0.250, 0.250, 0.250], [0.500, 0.500, 0.500], [0.750, 0.750, 0.750]], "magmom_total_mub_per_fu": 0.000}

=====

#2
{"formula": "AlZnCuIr", "functional": "GGA-PBE", "state": "relaxed", "lattice_angstrom": [[0.000, 3.005, 3.005], [3.005, 0.000, 3.005], [3.005, 3.005, 0.000]], "species": ["Al", "Cu", "Zn", "Ir"], "fractional_positions": [[0.000, 0.000, 0.000], [0.750, 0.750, 0.750], [0.500, 0.500, 0.500], [0.250, 0.250, 0.250]], "magmom_total_mub_per_fu": 0.001}

=====

Verdict on stability: #1 comes out at the bottom.